No. 1
A PBEsol-optimized structure of ScBTe2, computed with SCAN.

abc: 6.541 6.541 6.541
angles: 121.96 121.96 86.63
Fractional positions:
Sc: 0.000 0.000 0.000
Sc: 0.750 0.250 0.500
B: 0.250 0.750 0.500
B: 0.500 0.500 0.000
Te: 0.198 0.625 0.073
Te: 0.375 0.448 0.573
Te: 0.552 0.125 0.927
Te: 0.875 0.802 0.427

***

No. 2
A PBEsol-optimized structure of Sc3TlB, computed with SCAN.

energy of formation from the pure elements = -0.511 eV/atom

abc: 4.635 4.635 4.635
angles: 90.00 90.00 90.00
Fractional positions:
Sc: 0.000 0.000 0.500
Sc: 0.000 0.500 0.000
Sc: 0.500 0.000 0.000
Tl: 0.500 0.500 0.500
B: 0.000 0.000 0.000

***

No. 3
A PBEsol-optimized structure of Sc3TlB, computed with SCAN.

energy of formation from the pure elements = 1.160 eV/atom

abc: 5.216 5.216 5.216
angles: 90.00 90.00 90.00
Fractional positions:
Sc: 0.000 0.000 0.500
Sc: 0.000 0.500 0.000
Sc: 0.500 0.000 0.000
Tl: 0.000 0.000 0.000
B: 0.500 0.500 0.500

***

No. 4
A PBEsol-optimized structure of ScTl2B, computed with SCAN.

energy of formation from the pure elements = 0.806 eV/atom

abc: 4.859 4.859 4.859
angles: 60.00 60.00 60.00
Fractional positions:
Sc: 0.000 0.000 0.000
Tl: 0.250 0.250 0.250
Tl: 0.750 0.750 0.750
B: 0.500 0.500 0.500

***

No. 5
A PBEsol-optimized structure of Y2ScB2, computed with SCAN.

energy of formation from the pure elements = 0.451 eV/atom

abc: 6.054 6.054 6.054
angles: 137.48 137.48 61.70
Fractional positions:
Y: 0.152 0.152 0.000
Y: 0.848 0.848 0.000
Sc: 0.500 0.500 0.000
B: 0.250 0.750 0.500
B: 0.750 0.250 0.500

***

No. 6
A PBEsol-optimized structure of ScZn3B, computed with SCAN.

energy of formation from the pure elements = 1.847 eV/atom

abc: 5.093 5.093 5.093
angles: 90.00 90.00 90.00
Fractional positions:
Sc: 0.000 0.000 0.000
Zn: 0.000 0.000 0.500
Zn: 0.000 0.500 0.000
Zn: 0.500 0.000 0.000
B: 0.500 0.500 0.500

***

No. 7
A PBEsol-optimized structure of ZrScZn2B, computed with SCAN.

energy of formation from the pure elements = 0.819 eV/atom

abc: 4.958 4.958 4.208
angles: 90.00 90.00 90.00
Fractional positions:
Zr: 0.000 0.000 0.000
Sc: 0.500 0.500 0.500
Zn: 0.000 0.500 0.000
Zn: 0.500 0.000 0.000
B: 0.000 0.000 0.500

***

No. 8
A PBEsol-optimized structure of ZrScZnB2, computed with SCAN.

energy of formation from the pure elements = 1.034 eV/atom

abc: 4.017 4.017 4.591
angles: 90.00 90.00 90.00
Fractional positions:
Zr: 0.000 0.000 0.000
Sc: 0.500 0.500 0.000
Zn: 0.500 0.500 0.500
B: 0.000 0.500 0.500
B: 0.500 0.000 0.500

***

No. 9
A PBEsol-optimized structure of BSe2, computed with SCAN.

abc: 7.598 11.375 8.993
angles: 90.00 117.17 90.00
Fractional positions:
B: 0.017 0.134 0.251
B: 0.017 0.366 0.751
B: 0.169 0.632 0.766
B: 0.169 0.868 0.266
B: 0.831 0.132 0.734
B: 0.831 0.368 0.234
B: 0.983 0.634 0.249
B: 0.983 0.866 0.749
Se: 0.080 0.197 0.759
Se: 0.080 0.303 0.259
Se: 0.237 0.580 0.275
Se: 0.237 0.920 0.775
Se: 0.240 0.035 0.274
Se: 0.240 0.465 0.774
Se: 0.385 0.734 0.787
Se: 0.385 0.766 0.287
Se: 0.615 0.234 0.713
Se: 0.615 0.266 0.213
Se: 0.760 0.535 0.226
Se: 0.760 0.965 0.726
Se: 0.763 0.080 0.225
Se: 0.763 0.420 0.725
Se: 0.920 0.697 0.741
Se: 0.920 0.803 0.241

***

No. 10
A PBEsol-optimized structure of BSe, computed with SCAN.

abc: 7.562 7.562 7.562
angles: 24.74 24.74 24.74
Fractional positions:
B: 0.038 0.038 0.038
B: 0.962 0.962 0.962
Se: 0.253 0.253 0.253
Se: 0.747 0.747 0.747

***

No. 11
A PBEsol-optimized structure of SnB3Se, computed with SCAN.

abc: 4.149 4.149 4.149
angles: 90.00 90.00 90.00
Fractional positions:
Sn: 0.000 0.000 0.000
B: 0.000 0.500 0.500
B: 0.500 0.000 0.500
B: 0.500 0.500 0.000
Se: 0.500 0.500 0.500

***

No. 12
A PBEsol-optimized structure of Sr3BSe, computed with SCAN.

abc: 5.422 5.422 5.422
angles: 90.00 90.00 90.00
Fractional positions:
Sr: 0.000 0.000 0.500
Sr: 0.000 0.500 0.000
Sr: 0.500 0.000 0.000
B: 0.000 0.000 0.000
Se: 0.500 0.500 0.500

***

Going through the records in order, we get final energy values of -23.96; -25.01; -23.34; -40.79; -16.51; -10.60; -15.06; -13.63; -16.06; -14.00; -13.76; -19.19 eV per atom.